AcMg4Ag2 GGA-PBE optimized geometry; calculated volume = 23.92 Å³ per atom; DFT total energy = -35.15 eV per cell
1.0
8.527 0.000 0.000
0.000 8.527 0.000
0.000 0.000 4.606
Ac Mg Ag
2 8 4
direct
0.000 0.000 0.000
0.500 0.500 0.500
0.088 0.340 0.500
0.160 0.588 0.000
0.340 0.088 0.500
0.412 0.840 0.000
0.588 0.160 0.000
0.660 0.912 0.500
0.840 0.412 0.000
0.912 0.660 0.500
0.220 0.780 0.500
0.280 0.280 0.000
0.720 0.720 0.000
0.780 0.220 0.500